Compound: Nd2AlO4
Source: Alexandria
Functional: GGA-PBE
Structure: optimized geometry

The structure in POSCAR format:
```
Nd2AlO4
1.0
10.186 0.000 0.000
0.000 3.137 0.000
-2.825 0.000 5.556
Nd Al O
4 2 8
Cartesian
1.096 0.000 1.060
1.172 1.568 4.495
6.189 1.568 1.060
6.265 0.000 4.495
-1.413 1.568 2.778
3.680 0.000 2.778
-1.844 1.568 4.627
-0.138 0.000 3.094
2.406 1.568 2.462
4.112 0.000 0.928
3.249 0.000 4.627
4.955 1.568 3.094
7.499 0.000 2.462
9.205 1.568 0.928
```

Output
Energy relative to the elements, uncorrected (eV per atom): -2.84

Compound: Zn2CuPd
Source: Alexandria
Functional: GGA-PBE
Structure: optimized geometry

The structure in POSCAR format:
```
Zn2CuPd
1.0
3.932 0.000 0.000
0.000 3.932 0.000
0.000 0.000 3.588
Zn Cu Pd
2 1 1
Cartesian
0.000 1.966 0.000
1.966 0.000 0.000
0.000 0.000 1.794
1.966 1.966 1.794
```

Output
DFT total energy (eV per atom): -3.279

Compound: AlRuPt2
Source: Alexandria
Functional: GGA-PBE
Structure: optimized geometry

The structure in POSCAR format:
```
AlRuPt2
1.0
2.799 0.000 0.000
-1.400 2.424 0.000
0.000 0.000 26.209
Al Ru Pt
3 3 6
Cartesian
0.000 0.000 0.000
0.000 1.616 17.473
1.400 0.808 8.736
0.000 0.000 19.489
0.000 1.616 10.753
1.400 0.808 2.017
0.000 0.000 6.710
0.000 0.000 13.005
0.000 1.616 4.269
0.000 1.616 24.182
1.400 0.808 15.446
1.400 0.808 21.742
```

Output
DFT total energy (eV per atom): -6.614

Compound: GaNiMo
Source: Alexandria
Functional: GGA-PBE
Structure: optimized geometry

The structure in POSCAR format:
```
GaNiMo
1.0
8.019 0.000 0.000
0.000 4.650 0.000
-2.950 0.000 4.489
Ga Ni Mo
4 4 4
Cartesian
0.000 0.000 0.000
-1.475 0.786 2.245
4.010 2.325 0.000
2.535 3.111 2.245
-0.134 3.125 2.256
1.194 0.800 2.233
3.876 0.800 2.256
5.203 3.125 2.233
-1.616 2.346 4.449
2.676 0.021 0.040
2.393 0.021 4.449
6.686 2.346 0.040
```

Output
DFT total energy (eV per atom): -6.656

Compound: CoP2Se
Source: Alexandria
Functional: GGA-PBE
Structure: optimized geometry

The structure in POSCAR format:
```
CoP2Se
1.0
5.167 0.000 0.000
0.000 7.038 0.000
0.000 0.000 3.213
Co P Se
2 4 2
Cartesian
0.000 0.000 0.000
2.583 3.519 0.000
1.292 1.759 1.606
1.292 5.278 1.606
3.875 1.759 1.606
3.875 5.278 1.606
0.000 3.519 0.000
2.583 0.000 0.000
```

Output
Energy relative to the elements, uncorrected (eV per atom): 0.62

Compound: PaFeSi2W
Source: Alexandria
Functional: GGA-PBE
Structure: optimized geometry

The structure in POSCAR format:
```
PaFeSi2W
1.0
3.960 0.000 0.000
0.000 3.960 0.000
0.000 0.000 10.601
Pa Fe Si W
2 2 4 2
Cartesian
0.000 0.000 0.000
1.980 1.980 5.301
0.000 1.980 2.650
1.980 0.000 7.951
0.000 0.000 4.101
0.000 0.000 6.501
1.980 1.980 1.200
1.980 1.980 9.401
0.000 1.980 7.951
1.980 0.000 2.650
```

Output
Energy relative to the elements, uncorrected (eV per atom): -0.35

Compound: Ce2ThSb3Rh4
Source: Alexandria
Functional: GGA-PBE
Structure: optimized geometry

The structure in POSCAR format:
```
Ce2ThSb3Rh4
1.0
4.518 0.000 0.000
0.000 4.518 0.000
0.000 0.000 11.247
Ce Th Sb Rh
2 1 3 4
Cartesian
0.000 2.259 2.408
2.259 0.000 8.839
0.000 0.000 5.624
0.000 2.259 9.810
2.259 0.000 1.438
2.259 2.259 5.624
0.000 0.000 0.000
0.000 2.259 7.237
2.259 0.000 4.011
2.259 2.259 0.000
```

Output
Energy relative to the elements, uncorrected (eV per atom): -0.80

Compound: AcPrTm2Sb4
Source: Alexandria
Functional: GGA-PBE
Structure: optimized geometry

The structure in POSCAR format:
```
AcPrTm2Sb4
1.0
7.796 0.000 0.000
0.000 4.519 0.000
-2.615 0.000 7.376
Ac Pr Tm Sb
1 1 2 4
Cartesian
0.000 0.000 0.000
-1.308 2.259 3.688
2.590 0.000 3.688
3.898 2.259 0.000
0.130 0.000 5.538
1.439 2.259 1.941
3.741 2.259 5.435
5.051 0.000 1.838
```

Output
Energy relative to the elements, uncorrected (eV per atom): -1.11

Compound: UPdPtAu
Source: Alexandria
Functional: GGA-PBE
Structure: optimized geometry

The structure in POSCAR format:
```
UPdPtAu
1.0
6.720 0.000 0.000
0.000 6.720 0.000
0.000 0.000 6.720
U Pd Pt Au
4 4 4 4
Cartesian
0.000 0.000 0.000
0.000 3.360 3.360
3.360 0.000 3.360
3.360 3.360 0.000
1.680 1.680 5.040
1.680 5.040 1.680
5.040 1.680 1.680
5.040 5.040 5.040
1.680 1.680 1.680
1.680 5.040 5.040
5.040 1.680 5.040
5.040 5.040 1.680
0.000 0.000 3.360
0.000 3.360 0.000
3.360 0.000 0.000
3.360 3.360 3.360
```

Output
DFT total energy (eV per atom): -6.892

Compound: Sc3Be2Fe7
Source: Alexandria
Functional: GGA-PBE
Structure: optimized geometry

The structure in POSCAR format:
```
Sc3Be2Fe7
1.0
2.447 1.413 7.530
-2.447 1.413 7.530
0.000 -2.825 7.530
Sc Be Fe
3 2 7
Cartesian
0.000 0.000 0.000
0.000 0.000 3.195
0.000 0.000 19.396
0.000 0.000 7.538
0.000 0.000 15.053
-1.233 -0.712 9.309
0.000 -1.424 13.282
-1.233 0.712 13.282
0.000 0.000 11.295
1.233 -0.712 9.309
0.000 1.424 9.309
1.233 0.712 13.282
```

Output
DFT total energy (eV per atom): -7.365

Compound: CdNiBi2
Source: Alexandria
Functional: GGA-PBE
Structure: optimized geometry

The structure in POSCAR format:
```
CdNiBi2
1.0
3.470 0.000 0.000
-1.735 3.005 0.000
0.000 0.000 30.624
Cd Ni Bi
3 3 6
Cartesian
0.000 0.000 0.000
0.000 2.004 20.416
1.735 1.002 10.208
0.000 0.000 15.312
0.000 2.004 5.104
1.735 1.002 25.520
0.000 0.000 3.272
0.000 0.000 27.352
0.000 2.004 17.144
0.000 2.004 23.688
1.735 1.002 6.936
1.735 1.002 13.480
```

Output
DFT total energy (eV per atom): -3.474

Compound: Ru5W
Source: Alexandria
Functional: GGA-PBE
Structure: optimized geometry

The structure in POSCAR format:
```
Ru5W
1.0
2.730 0.000 0.000
0.000 2.730 0.000
0.000 0.000 11.534
Ru W
5 1
Cartesian
0.000 0.000 0.000
0.000 0.000 3.779
0.000 0.000 7.756
1.365 1.365 1.897
1.365 1.365 9.637
1.365 1.365 5.767
```

Output
Excess energy over the best structure of this formula in the dataset (eV per atom): 0.138

Compound: Mg2ScSi
Source: Alexandria
Functional: GGA-PBE
Structure: optimized geometry

The structure in POSCAR format:
```
Mg2ScSi
1.0
3.140 0.000 0.000
-1.570 2.719 0.000
0.000 0.000 29.651
Mg Sc Si
6 3 3
Cartesian
0.000 0.000 7.175
0.000 0.000 22.477
0.000 1.813 12.593
0.000 1.813 26.942
1.570 0.906 2.709
1.570 0.906 17.058
0.000 0.000 0.000
0.000 1.813 19.768
1.570 0.906 9.884
0.000 0.000 14.826
0.000 1.813 4.942
1.570 0.906 24.709
```

Output
Energy relative to the elements, uncorrected (eV per atom): 0.16